# 1
Here is a relaxed structure of TiCd from the Alexandria database. Energies are from PBE.

The formation energy comes out at 125 meV per atom. For the total energy, the calculation gives -51.36 eV for the cell shown. The total magnetization is 0.0 μB per cell.

The structure belongs to space group P6_3/m (No. 176); the cell edges are 9.6908, 9.6908 and 2.9399 Å and the angles 90.00°, 90.00° and 120.00°. The asymmetric unit holds Ti at (0.1372, 0.5496, 0.2500) and Cd at (0.1147, 0.8043, 0.7500).



# 2
Here is a relaxed structure of TiCd from the Alexandria database. Energies are from PBE.

The formation energy comes out at 1042 meV per atom. For the total energy, the calculation gives -13.45 eV for the cell shown. The total magnetization is 3.9 μB per cell.

The structure belongs to space group P6_3/mmc (No. 194); the cell edges are 4.7858, 4.7858 and 5.5919 Å and the angles 90.00°, 90.00° and 120.00°. The asymmetric unit holds Ti at (0.3333, 0.6667, 0.2500) and Cd at (0.3333, 0.6667, 0.7500).



# 3
Here is a relaxed structure of TiCd from the Alexandria database. Energies are from PBE.

The formation energy comes out at 975 meV per atom. For the total energy, the calculation gives -54.88 eV for the cell shown. The total magnetization is 9.8 μB per cell.

The structure belongs to space group I-43m (No. 217); the cell edges are 8.716, 8.716 and 8.716 Å and the angles 90.00°, 90.00° and 90.00°. The asymmetric unit holds Ti at (0.105, 0.105, 0.105) and Cd at (0.203, 0.203, 0.797).



# 4
Here is a relaxed structure of TiCd from the Alexandria database. Energies are from PBE.

The formation energy comes out at 143 meV per atom. For the total energy, the calculation gives -68.19 eV for the cell shown. The total magnetization is 14.9 μB per cell.

The structure belongs to space group Fd-3m (No. 227, origin choice 2); the cell edges are 6.763, 6.763 and 6.763 Å and the angles 90.00°, 90.00° and 90.00°. The asymmetric unit holds Ti at (0.125, 0.125, 0.125) and Cd at (0.125, 0.125, 0.625).



# 5
Here is a relaxed structure of TiCd3 from the Alexandria database. Energies are from PBE.

The formation energy comes out at 78 meV per atom. For the total energy, the calculation gives -20.66 eV for the cell shown. The total magnetization is 0.0 μB per cell.

The structure belongs to space group Imm2 (No. 44); the cell edges are 2.886, 10.188 and 5.544 Å and the angles 90.00°, 90.00° and 90.00°. The asymmetric unit holds Ti at (0.000, 0.000, 0.000), Cd at (0.000, 0.257, 0.682) and Cd at (0.000, 0.500, 0.005).



# 6
Here is a relaxed structure of Ti5Cd from the Alexandria database. Energies are from PBE.

The formation energy comes out at 31 meV per atom. For the total energy, the calculation gives -80.41 eV for the cell shown. The total magnetization is 0.0 μB per cell.

The structure belongs to space group Cmmm (No. 65); the cell edges are 4.196, 12.234 and 4.152 Å and the angles 90.00°, 90.00° and 90.00°. The asymmetric unit holds Ti at (0.000, 0.000, 0.000), Ti at (0.000, 0.170, 0.500), Ti at (0.000, 0.327, 0.000) and Cd at (0.000, 0.500, 0.500).



# 7
Here is a relaxed structure of Ti5Cd from the Alexandria database. Energies are from PBE.

The formation energy comes out at 38 meV per atom. For the total energy, the calculation gives -80.32 eV for the cell shown. The total magnetization is 0.0 μB per cell.

The structure belongs to space group Cm (No. 8); the cell edges are 10.960, 2.893 and 6.989 Å and the angles 90.00°, 104.76° and 90.00°. The asymmetric unit holds Ti at (0.000, 0.000, 0.000), Ti at (0.049, 0.000, 0.614), Ti at (0.149, 0.500, 0.325), Ti at (0.219, 0.500, 0.966), Ti at (0.388, 0.000, 0.272) and Cd at (0.321, 0.000, 0.660).



# 8
Here is a relaxed structure of TiCd4 from the Alexandria database. Energies are from PBE.

The formation energy comes out at 721 meV per atom. For the total energy, the calculation gives -7.95 eV for the cell shown. The total magnetization is 2.8 μB per cell.

The structure belongs to space group Pm-3m (No. 221); the cell edges are 5.472, 5.472 and 5.472 Å and the angles 90.00°, 90.00° and 90.00°. The asymmetric unit holds Ti at (0.000, 0.000, 0.000), Cd at (0.000, 0.000, 0.500) and Cd at (0.500, 0.500, 0.500).